Record 1
# KPmCuBr5 (PBE, relaxed)
data_KPmCuBr5
_chemical_formula_sum 'K2 Pm2 Cu2 Br10'
_cell_length_a 7.8038
_cell_length_b 7.8038
_cell_length_c 10.6622
_cell_angle_alpha 103.67
_cell_angle_beta 103.67
_cell_angle_gamma 106.70
_space_group_name_H-M_alt 'P 1'
_space_group_IT_number 1
_space_group_name_Hall 'P 1'
loop_
_atom_site_label
_atom_site_fract_x
_atom_site_fract_y
_atom_site_fract_z
_atom_site_occupancy
K1 0.1410 0.8590 0.7500 1
K2 0.8590 0.1410 0.2500 1
Pm1 0.5000 0.5000 0.0000 1
Pm2 0.5000 0.5000 0.5000 1
Cu1 0.1888 0.8112 0.2500 1
Cu2 0.8112 0.1888 0.7500 1
Br1 0.1124 0.2535 0.9315 1
Br2 0.1766 0.5834 0.3760 1
Br3 0.2535 0.1124 0.4315 1
Br4 0.4085 0.5915 0.7500 1
Br5 0.4166 0.8234 0.1240 1
Br6 0.5834 0.1766 0.8760 1
Br7 0.5915 0.4085 0.2500 1
Br8 0.7465 0.8876 0.5685 1
Br9 0.8234 0.4166 0.6240 1
Br10 0.8876 0.7465 0.0685 1
# Raw formation energy (eV/atom): -1.43
# Space group: C2/c
# Fermi-level density of states (states/eV per cell): 0.00

=====

Record 2
# PmPrAsS (PBE, relaxed)
data_PmPrAsS
_chemical_formula_sum 'Pm3 Pr3 As3 S3'
_cell_length_a 4.1877
_cell_length_b 4.1877
_cell_length_c 20.3797
_cell_angle_alpha 90.00
_cell_angle_beta 90.00
_cell_angle_gamma 120.00
_space_group_name_H-M_alt 'P 1'
_space_group_IT_number 1
_space_group_name_Hall 'P 1'
loop_
_atom_site_label
_atom_site_fract_x
_atom_site_fract_y
_atom_site_fract_z
_atom_site_occupancy
Pm1 0.0000 0.0000 0.0000 1
Pm2 0.3333 0.6667 0.6667 1
Pm3 0.6667 0.3333 0.3333 1
Pr1 0.0000 0.0000 0.4988 1
Pr2 0.3333 0.6667 0.1655 1
Pr3 0.6667 0.3333 0.8321 1
As1 0.0000 0.0000 0.2510 1
As2 0.3333 0.6667 0.9176 1
As3 0.6667 0.3333 0.5843 1
S1 0.0000 0.0000 0.7477 1
S2 0.3333 0.6667 0.4143 1
S3 0.6667 0.3333 0.0810 1
# Raw formation energy (eV/atom): -1.80
# Space group: R3m
# Fermi-level density of states (states/eV per cell): 4.98

=====

Record 3
# Co2TcCl (PBE, relaxed)
data_Co2TcCl
_chemical_formula_sum 'Co2 Tc1 Cl1'
_cell_length_a 2.8755
_cell_length_b 2.8755
_cell_length_c 6.5244
_cell_angle_alpha 90.00
_cell_angle_beta 90.00
_cell_angle_gamma 90.00
_space_group_name_H-M_alt 'P 1'
_space_group_IT_number 1
_space_group_name_Hall 'P 1'
loop_
_atom_site_label
_atom_site_fract_x
_atom_site_fract_y
_atom_site_fract_z
_atom_site_occupancy
Co1 0.0000 0.0000 0.0000 1
Co2 0.5000 0.5000 0.2110 1
Tc1 0.0000 0.0000 0.4341 1
Cl1 0.5000 0.5000 0.7123 1
# Raw formation energy (eV/atom): 0.46
# Space group: P4mm
# Fermi-level density of states (states/eV per cell): 6.62

=====

Record 4
# NaMnSb2Se (PBE, relaxed)
data_NaMnSb2Se
_chemical_formula_sum 'Na1 Mn1 Sb2 Se1'
_cell_length_a 5.7260
_cell_length_b 5.7260
_cell_length_c 4.6250
_cell_angle_alpha 90.00
_cell_angle_beta 90.00
_cell_angle_gamma 90.00
_space_group_name_H-M_alt 'P 1'
_space_group_IT_number 1
_space_group_name_Hall 'P 1'
loop_
_atom_site_label
_atom_site_fract_x
_atom_site_fract_y
_atom_site_fract_z
_atom_site_occupancy
Na1 0.0000 0.0000 0.0000 1
Mn1 0.5000 0.5000 0.0000 1
Sb1 0.0000 0.5000 0.5000 1
Sb2 0.5000 0.0000 0.5000 1
Se1 0.5000 0.5000 0.5000 1
# Raw formation energy (eV/atom): 0.35
# Space group: P4/mmm
# Fermi-level density of states (states/eV per cell): 4.31

=====

Record 5
# Hg2N2Cl (PBE, relaxed)
data_Hg2N2Cl
_chemical_formula_sum 'Hg2 N2 Cl1'
_cell_length_a 2.8887
_cell_length_b 4.0900
_cell_length_c 13.0575
_cell_angle_alpha 85.47
_cell_angle_beta 84.89
_cell_angle_gamma 85.22
_space_group_name_H-M_alt 'P 1'
_space_group_IT_number 1
_space_group_name_Hall 'P 1'
loop_
_atom_site_label
_atom_site_fract_x
_atom_site_fract_y
_atom_site_fract_z
_atom_site_occupancy
Hg1 0.0695 0.0406 0.3190 1
Hg2 0.9305 0.9594 0.6810 1
N1 0.4788 0.5807 0.0327 1
N2 0.5212 0.4193 0.9673 1
Cl1 0.0000 0.5000 0.5000 1
# Raw formation energy (eV/atom): -0.03
# Space group: P-1
# Fermi-level density of states (states/eV per cell): 0.85

=====

Record 6
# Sr3Cd2InAg6 (PBE, relaxed)
data_Sr3Cd2InAg6
_chemical_formula_sum 'Sr3 Cd2 In1 Ag6'
_cell_length_a 6.1173
_cell_length_b 6.1173
_cell_length_c 9.4263
_cell_angle_alpha 90.00
_cell_angle_beta 90.00
_cell_angle_gamma 120.00
_space_group_name_H-M_alt 'P 1'
_space_group_IT_number 1
_space_group_name_Hall 'P 1'
loop_
_atom_site_label
_atom_site_fract_x
_atom_site_fract_y
_atom_site_fract_z
_atom_site_occupancy
Sr1 0.0000 0.0000 0.0000 1
Sr2 0.3333 0.6667 0.6039 1
Sr3 0.6667 0.3333 0.3961 1
Cd1 0.3333 0.6667 0.9904 1
Cd2 0.6667 0.3333 0.0096 1
In1 0.0000 0.0000 0.5000 1
Ag1 0.1781 0.3563 0.2680 1
Ag2 0.1781 0.8219 0.2680 1
Ag3 0.3563 0.1781 0.7320 1
Ag4 0.6437 0.8219 0.2680 1
Ag5 0.8219 0.1781 0.7320 1
Ag6 0.8219 0.6437 0.7320 1
# DFT formation energy (eV per atom): -0.181
# Space group: P-3m1
# Fermi-level density of states (states/eV per cell): 5.08

=====

Record 7
# HfMnHIr2 (PBE, relaxed)
data_HfMnHIr2
_chemical_formula_sum 'Hf1 Mn1 H1 Ir2'
_cell_length_a 4.0561
_cell_length_b 4.0561
_cell_length_c 3.8766
_cell_angle_alpha 90.00
_cell_angle_beta 90.00
_cell_angle_gamma 90.00
_space_group_name_H-M_alt 'P 1'
_space_group_IT_number 1
_space_group_name_Hall 'P 1'
loop_
_atom_site_label
_atom_site_fract_x
_atom_site_fract_y
_atom_site_fract_z
_atom_site_occupancy
Hf1 0.0000 0.0000 0.0000 1
Mn1 0.5000 0.5000 0.0000 1
H1 0.5000 0.5000 0.5000 1
Ir1 0.0000 0.5000 0.5000 1
Ir2 0.5000 0.0000 0.5000 1
# Space group: P4/mmm
# Fermi-level density of states (states/eV per cell): 3.80
# Calculated total energy (eV for the cell shown): -42.5

=====

Record 8
# CdBiCl3 (PBE, relaxed)
data_CdBiCl3
_chemical_formula_sum 'Cd1 Bi1 Cl3'
_cell_length_a 5.2387
_cell_length_b 5.2387
_cell_length_c 5.2387
_cell_angle_alpha 90.00
_cell_angle_beta 90.00
_cell_angle_gamma 90.00
_space_group_name_H-M_alt 'P 1'
_space_group_IT_number 1
_space_group_name_Hall 'P 1'
loop_
_atom_site_label
_atom_site_fract_x
_atom_site_fract_y
_atom_site_fract_z
_atom_site_occupancy
Cd1 0.0000 0.0000 0.0000 1
Bi1 0.5000 0.5000 0.5000 1
Cl1 0.0000 0.0000 0.5000 1
Cl2 0.0000 0.5000 0.0000 1
Cl3 0.5000 0.0000 0.0000 1
# Raw formation energy (eV/atom): -0.39
# Space group: Pm-3m
# Fermi-level density of states (states/eV per cell): 5.84